Record 1
ZrTiAs3: relaxed, PBE.

Results
offset from the most stable computed form: 421 meV per atom
space group: Pm-3m, No. 221
Fermi-level density of states: 10.6 states/eV per cell
formation energy from the elements: 11.358 kcal/mol of atoms
magnetization: 0.09 Bohr magnetons per cell

```
ZrTiAs3
1.0
-1.1441 -2.0092 4.5544
4.7082 1.0805 1.6594
-1.6162 4.5699 1.6100
As Zr Ti
3 1 1
Direct
0.0000 0.5000 0.0000 As
0.0000 0.0000 0.5000 As
0.5000 0.0000 0.0000 As
0.0000 0.0000 0.0000 Zr
0.5000 0.5000 0.5000 Ti
```

=====

Record 2
Ac2AsOs: relaxed, PBE.

Results
offset from the most stable computed form: 765 meV per atom
space group: R-3m, No. 166
Fermi-level density of states: 3.1 states/eV per cell
formation energy from the elements: 11.417 kcal/mol of atoms
magnetization: 1.16 Bohr magnetons per cell

```
Ac2AsOs
1.0
4.4123 0.0000 0.0000
2.2062 3.8212 0.0000
2.2062 1.2737 9.1717
Ac Os As
2 1 1
Direct
0.0995 0.0995 0.7015 Ac
0.9005 0.9005 0.2985 Ac
0.0000 0.0000 0.0000 Os
0.5000 0.5000 0.5000 As
```

=====

Record 3
ZrH2W: relaxed, PBE.

Results
offset from the most stable computed form: 610 meV per atom
space group: Fm-3m, No. 225
Fermi-level density of states: 3.5 states/eV per cell
magnetization: 0.00 Bohr magnetons per cell

```
ZrH2W
1.0
-1.1638 -2.2084 3.0834
-3.4015 -2.0331 -0.1878
0.0666 -3.9583 -0.2577
H Zr W
2 1 1
Direct
0.2500 0.2500 0.2500 H
0.7500 0.7500 0.7500 H
0.0000 0.0000 0.0000 Zr
0.5000 0.5000 0.5000 W
```

=====

Question: Which value of Fermi-level density of states does entry 1 give?
Answer: 10.6 states/eV per cell

=====

Copy entry 1 word for word.
ZrTiAs3: relaxed, PBE.

Results
offset from the most stable computed form: 421 meV per atom
space group: Pm-3m, No. 221
Fermi-level density of states: 10.6 states/eV per cell
formation energy from the elements: 11.358 kcal/mol of atoms
magnetization: 0.09 Bohr magnetons per cell

```
ZrTiAs3
1.0
-1.1441 -2.0092 4.5544
4.7082 1.0805 1.6594
-1.6162 4.5699 1.6100
As Zr Ti
3 1 1
Direct
0.0000 0.5000 0.0000 As
0.0000 0.0000 0.5000 As
0.5000 0.0000 0.0000 As
0.0000 0.0000 0.0000 Zr
0.5000 0.5000 0.5000 Ti
```

=====

Copy entry 3 word for word.
ZrH2W: relaxed, PBE.

Results
offset from the most stable computed form: 610 meV per atom
space group: Fm-3m, No. 225
Fermi-level density of states: 3.5 states/eV per cell
magnetization: 0.00 Bohr magnetons per cell

```
ZrH2W
1.0
-1.1638 -2.2084 3.0834
-3.4015 -2.0331 -0.1878
0.0666 -3.9583 -0.2577
H Zr W
2 1 1
Direct
0.2500 0.2500 0.2500 H
0.7500 0.7500 0.7500 H
0.0000 0.0000 0.0000 Zr
0.5000 0.5000 0.5000 W
```

=====

Question: The highest offset from the most stable computed form belongs to which entry?
Answer: Ac2AsOs